Record 1
DFT (PBE) results for a relaxed Sr2PmThP4 crystal.

Calculated values
Formation enthalpy at 0 K (eV per atom): -1.26
SG: No. 10
Volume (Å³/f.u.): 220

Unit cell a=4.248 b=7.360 c=7.446 alpha=109.28 beta=90.00 gamma=90.00
Positions (direct):
Sr1 0.500 0.000 0.500
Sr2 0.000 0.500 0.500
Pm1 0.000 0.000 0.000
Th1 0.500 0.500 0.000
P1 0.500 0.244 0.227
P2 0.500 0.756 0.773
P3 0.000 0.261 0.774
P4 0.000 0.739 0.226

***

Record 2
DFT (PBE) results for a relaxed PmDy14Th crystal.

Calculated values
Formation enthalpy at 0 K (eV per atom): 0.02
SG: No. 65
Volume (Å³/f.u.): 507

Unit cell a=7.109 b=7.109 c=10.034 alpha=90.00 beta=90.00 gamma=89.78
Positions (direct):
Pm1 0.375 0.625 0.000
Dy1 0.375 0.625 0.500
Dy2 0.875 0.125 0.500
Dy3 0.875 0.625 0.000
Dy4 0.875 0.625 0.500
Dy5 0.375 0.125 0.000
Dy6 0.375 0.125 0.500
Dy7 0.628 0.878 0.750
Dy8 0.628 0.878 0.250
Dy9 0.122 0.372 0.750
Dy10 0.122 0.372 0.250
Dy11 0.123 0.877 0.750
Dy12 0.123 0.877 0.250
Dy13 0.628 0.372 0.750
Dy14 0.628 0.372 0.250
Th1 0.875 0.125 0.000

***

Record 3
DFT (PBE) results for a relaxed RbMgAs2O6 crystal.

Calculated values
Formation energy (no corrections) (eV/atom): -1.55
SG: No. 15
Volume (Å³/f.u.): 178

Unit cell a=6.487 b=7.864 c=7.864 alpha=90.32 beta=71.22 gamma=71.22
Positions (direct):
Rb1 0.250 0.873 0.127
Rb2 0.750 0.127 0.873
Mg1 0.250 0.225 0.775
Mg2 0.750 0.775 0.225
As1 0.386 0.773 0.626
As2 0.114 0.374 0.227
As3 0.614 0.227 0.374
As4 0.886 0.626 0.773
O1 0.235 0.976 0.762
O2 0.265 0.238 0.024
O3 0.765 0.024 0.238
O4 0.735 0.762 0.976
O5 0.445 0.802 0.402
O6 0.055 0.598 0.198
O7 0.555 0.198 0.598
O8 0.945 0.402 0.802
O9 0.189 0.643 0.682
O10 0.311 0.318 0.357
O11 0.811 0.357 0.318
O12 0.689 0.682 0.643

***

Record 4
DFT (PBE) results for a relaxed TbEr2As crystal.

Calculated values
Formation enthalpy at 0 K (eV per atom): -0.37
SG: No. 166
Volume (Å³/f.u.): 125

Unit cell a=3.752 b=3.752 c=10.502 alpha=79.71 beta=79.71 gamma=60.00
Site moments in Bohr magnetons follow the coordinates.
Positions (direct):
As1 0.500 0.500 0.500  0.00
Tb1 0.000 0.000 0.000  0.43
Er1 0.111 0.111 0.667  0.10
Er2 0.889 0.889 0.333  0.10

***

Record 5
DFT (PBE) results for a relaxed La2TmPb3 crystal.

Calculated values
Formation enthalpy at 0 K (eV per atom): -0.42
SG: No. 15
Volume (Å³/f.u.): 200

Unit cell a=6.541 b=7.532 c=8.939 alpha=102.15 beta=111.46 gamma=90.00
Positions (direct):
La1 0.666 0.584 0.337
La2 0.670 0.084 0.337
La3 0.330 0.916 0.663
La4 0.334 0.416 0.663
Tm1 0.993 0.750 0.000
Tm2 0.007 0.250 0.000
Pb1 0.508 0.250 0.000
Pb2 0.492 0.750 0.000
Pb3 0.161 0.080 0.319
Pb4 0.843 0.420 0.681
Pb5 0.157 0.580 0.319
Pb6 0.839 0.920 0.681

***

no.,E (eV per atom)
1,-5.91
2,-4.77
3,-5.72
4,-4.97
5,-4.66